(1)
This record from Alexandria describes a geometry-optimized TbEuAg structure. The functional is PBE-GGA.

Cell: 3.7149 3.7149 13.0579 Å, 90.00 90.00 90.00°
Space group I4mm (No. 107)
Inequivalent atoms, fractional coordinates:
Tb 0.0000 0.0000 0.0000 [2 per cell]
Eu 0.0000 0.0000 0.7183 [2 per cell]
Ag 0.0000 0.0000 0.3770 [2 per cell]

Its formation energy from the elements is -0.45 eV per formula unit. The calculation puts the calculated volume at 30.03 A^3/atom. The excess energy over the best structure of this formula in the dataset is 0.00 eV per formula unit. For the total energy, the calculation gives -6.0698 eV/atom.



(2)
This record from Alexandria describes a geometry-optimized Tb2EuAg structure. The functional is PBE-GGA.

Cell: 3.6721 3.6721 9.0018 Å, 90.00 90.00 90.00°
Space group P4/mmm (No. 123)
Inequivalent atoms, fractional coordinates:
Tb 0.0000 0.0000 0.1977 [2 per cell]
Eu 0.5000 0.5000 0.5000 [1 per cell]
Ag 0.5000 0.5000 0.0000 [1 per cell]

Its formation energy from the elements is -0.30 eV per formula unit. The calculation puts the calculated volume at 30.35 A^3/atom. The excess energy over the best structure of this formula in the dataset is 0.00 eV per formula unit. For the total energy, the calculation gives -5.6721 eV/atom.